Here is a geometry-optimized K3Pm2PrO6 structure from the Alexandria database. Energies are from PBE.

Cell lengths 6.294, 6.294, 6.648 Å; angles 99.08, 99.08, 120.00 degrees
Fractional coordinates of all 12 atoms:
O1 0.726 0.726 0.191
K1 0.833 0.167 0.500
O2 0.274 0.274 0.809
O3 0.064 0.401 0.191
O4 0.936 0.599 0.809
Pm1 0.333 0.667 0.000
O5 0.599 0.936 0.809
O6 0.401 0.064 0.191
Pr1 0.000 0.000 0.000
Pm2 0.667 0.333 0.000
K2 0.500 0.500 0.500
K3 0.167 0.833 0.500

Calculated values
- Total moment: 0.000 μB/f.u.
- E_tot: -6.566 eV/atom
- Formation energy (no corrections): -31.46 eV per formula unit

=====

Here is a geometry-optimized SnHIO2 structure from the Alexandria database. Energies are from PBE.

Cell lengths 4.496, 4.496, 3.545 Å; angles 90.00, 90.00, 90.00 degrees
Fractional coordinates of all 5 atoms:
O1 0.500 0.000 0.000
Sn1 0.500 0.500 0.500
I1 0.000 0.000 0.500
O2 0.000 0.500 0.000
H1 0.000 0.000 0.000

Calculated values
- Total moment: 0.000 μB/f.u.
- E_tot: -3.268 eV/atom
- Relative energy among the computed polymorphs: 612.7 meV/atom

=====

Here is a geometry-optimized Sm4Sb2C structure from the Alexandria database. Energies are from PBE.

Cell lengths 4.044, 8.351, 8.214 Å; angles 133.79, 104.25, 90.00 degrees
Fractional coordinates of all 7 atoms:
Sm1 0.060 0.786 0.119
Sb1 0.658 0.639 0.316
Sb2 0.342 0.361 0.684
Sm2 0.646 0.239 0.292
Sm3 0.940 0.214 0.881
C1 0.000 0.000 0.000
Sm4 0.354 0.761 0.708

Calculated values
- Total moment: 1.696 μB/f.u.
- E_tot: -5.866 eV/atom
- Formation energy (no corrections): -4.71 eV per formula unit
- Relative energy among the computed polymorphs: 59.0 meV/atom

=====

Here is a geometry-optimized TlSCl2 structure from the Alexandria database. Energies are from PBE.

Cell lengths 8.181, 8.181, 8.181 Å; angles 35.11, 35.11, 35.11 degrees
Fractional coordinates of all 4 atoms:
S1 0.000 0.000 0.000
Cl1 0.900 0.900 0.900
Cl2 0.100 0.100 0.100
Tl1 0.500 0.500 0.500

Calculated values
- Total moment: 1.000 μB/f.u.
- E_tot: -2.733 eV/atom
- Formation energy (no corrections): -0.75 eV per formula unit
- Relative energy among the computed polymorphs: 0.0 meV/atom

=====

Here is a geometry-optimized HgPH2S4 structure from the Alexandria database. Energies are from PBE.

Cell lengths 5.232, 5.232, 6.664 Å; angles 112.97, 112.97, 90.35 degrees
Fractional coordinates of all 8 atoms:
S1 0.213 0.213 0.827
P1 0.538 0.538 0.077
H1 0.653 0.153 0.307
S2 0.614 0.614 0.827
S3 0.882 0.439 0.321
Hg1 0.007 0.007 0.014
H2 0.153 0.653 0.307
S4 0.439 0.882 0.321

Calculated values
- Total moment: 0.001 μB/f.u.
- E_tot: -3.478 eV/atom

=====

Here is a geometry-optimized PrGaAu2 structure from the Alexandria database. Energies are from PBE.

Cell lengths 5.675, 7.199, 8.472 Å; angles 90.00, 90.00, 90.00 degrees
Fractional coordinates of all 16 atoms:
Ga1 0.645 0.250 0.392
Pr1 0.852 0.750 0.444
Au1 0.379 0.952 0.320
Au2 0.621 0.048 0.680
Pr2 0.148 0.250 0.556
Pr3 0.352 0.250 0.056
Ga2 0.355 0.750 0.608
Pr4 0.648 0.750 0.944
Ga3 0.855 0.250 0.892
Au3 0.121 0.548 0.820
Au4 0.621 0.452 0.680
Au5 0.121 0.952 0.820
Au6 0.879 0.452 0.180
Au7 0.879 0.048 0.180
Ga4 0.145 0.750 0.108
Au8 0.379 0.548 0.320

Calculated values
- Total moment: 0.000 μB/f.u.
- E_tot: -4.259 eV/atom
- ΔH_f (0 K): -0.6683 eV/atom

=====

Here is a geometry-optimized InCuTe2 structure from the Alexandria database. Energies are from PBE.

Cell lengths 11.502, 11.502, 11.502 Å; angles 16.73, 16.73, 16.73 degrees
Fractional coordinates of all 4 atoms:
Te1 0.073 0.073 0.073
Te2 0.927 0.927 0.927
In1 0.500 0.500 0.500
Cu1 0.000 0.000 0.000

Calculated values
- Total moment: 0.000 μB/f.u.
- E_tot: -3.075 eV/atom
- Formation energy (no corrections): 0.82 eV per formula unit

=====

Here is a geometry-optimized AgPd2Rh structure from the Alexandria database. Energies are from PBE.

Cell lengths 2.834, 4.714, 4.714 Å; angles 90.00, 90.00, 90.00 degrees
Fractional coordinates of all 4 atoms:
Ag1 0.500 0.000 0.000
Rh1 0.500 0.500 0.500
Pd1 0.000 0.000 0.500
Pd2 0.000 0.500 0.000

Calculated values
- Total moment: 0.000 μB/f.u.
- E_tot: -4.991 eV/atom
- Relative energy among the computed polymorphs: 98.4 meV/atom
- ΔH_f (0 K): 0.1566 eV/atom

=====

Q: Which formula does entry 5 have?
A: HgPH2S4

=====

Q: Number 5 is which compound?
A: HgPH2S4